P) Compound: AlSi2Cl
Source: Alexandria via LeMat-Bulk
Functional: PBEsol
Structure: relaxed

Lattice parameters (Å, degrees): 6.0277 6.0277 6.0277 152.32 137.74 51.27
Positions (direct):
Al 0.0000 0.0000 0.0000
Si 0.2104 0.7104 0.5000
Si 0.7896 0.2896 0.5000
Cl 0.5000 0.5000 0.0000

Q) Compound: AlSi2Cl
Source: Alexandria via LeMat-Bulk
Functional: PBEsol
Structure: relaxed

Lattice parameters (Å, degrees): 3.5735 3.5735 5.5619 90.00 90.00 90.00
Positions (direct):
Al 0.0000 0.0000 0.0000
Si 0.0000 0.5000 0.5000
Si 0.5000 0.0000 0.5000
Cl 0.5000 0.5000 0.0000

R) Compound: AlSi2Cl
Source: Alexandria via LeMat-Bulk
Functional: PBEsol
Structure: relaxed

Lattice parameters (Å, degrees): 3.3648 3.3648 8.0024 90.00 90.00 90.00
Positions (direct):
Al 0.0000 0.0000 0.0000
Si 0.0000 0.0000 0.6926
Si 0.5000 0.5000 0.6134
Cl 0.5000 0.5000 0.1383

Relative energy table, unit eV/atom: P) 0.000; Q) 0.214; R) 0.090

P) Compound: Sr2AlCl
Source: Alexandria via LeMat-Bulk
Functional: PBEsol
Structure: relaxed

Lattice parameters (Å, degrees): 8.5544 8.5544 8.5544 28.47 28.47 28.47
Positions (direct):
Sr 0.2470 0.2470 0.2470
Sr 0.7530 0.7530 0.7530
Al 0.0000 0.0000 0.0000
Cl 0.5000 0.5000 0.5000

Q) Compound: Sr2AlCl
Source: Alexandria via LeMat-Bulk
Functional: PBEsol
Structure: relaxed

Lattice parameters (Å, degrees): 4.0368 3.7535 8.5332 90.00 90.10 90.00
Positions (direct):
Sr 0.0007 0.0000 0.2282
Sr 0.9993 0.0000 0.7718
Al 0.5000 0.5000 0.0000
Cl 0.0000 0.5000 0.5000

Relative energy table, unit eV/atom: P) 0.057; Q) 0.000

P) Compound: SrAlCl3
Source: Alexandria via LeMat-Bulk
Functional: PBEsol
Structure: relaxed

Lattice parameters (Å, degrees): 5.5360 5.5360 5.5360 90.00 90.00 90.00
Positions (direct):
Sr 0.0000 0.0000 0.0000
Al 0.5000 0.5000 0.5000
Cl 0.0000 0.0000 0.5000
Cl 0.0000 0.5000 0.0000
Cl 0.5000 0.0000 0.0000

Q) Compound: SrAlCl3
Source: Alexandria via LeMat-Bulk
Functional: PBEsol
Structure: relaxed

Lattice parameters (Å, degrees): 5.1299 5.1299 5.1299 90.00 90.00 90.00
Positions (direct):
Sr 0.0000 0.0000 0.0000
Al 0.5000 0.5000 0.5000
Cl 0.0000 0.5000 0.5000
Cl 0.5000 0.0000 0.5000
Cl 0.5000 0.5000 0.0000

Relative energy table, unit eV/atom: P) 0.000; Q) 0.173

P) Compound: TaAlCl2
Source: Alexandria via LeMat-Bulk
Functional: PBEsol
Structure: relaxed

Lattice parameters (Å, degrees): 5.0402 5.0402 2.9529 90.00 90.00 110.16
Positions (direct):
Ta 0.0000 0.0000 0.0000
Al 0.5000 0.5000 0.0000
Cl 0.0000 0.5000 0.5000
Cl 0.5000 0.0000 0.5000

Q) Compound: TaAlCl2
Source: Alexandria via LeMat-Bulk
Functional: PBEsol
Structure: relaxed

Lattice parameters (Å, degrees): 10.9902 10.9902 10.9902 15.87 15.87 15.87
Positions (direct):
Ta 0.0000 0.0000 0.0000
Al 0.5000 0.5000 0.5000
Cl 0.2780 0.2780 0.2780
Cl 0.7220 0.7220 0.7220

Relative energy table, unit eV/atom: P) 0.766; Q) 0.000

P) Compound: TaAlCl2
Source: Alexandria via LeMat-Bulk
Functional: PBEsol
Structure: relaxed

Lattice parameters (Å, degrees): 4.9420 4.8455 4.8455 36.29 90.00 90.00
Positions (direct):
Ta 0.0000 0.0000 0.0000
Al 0.5000 0.4127 0.4127
Cl 0.0000 0.7149 0.7149
Cl 0.5000 0.1587 0.1587

Q) Compound: TaAlCl2
Source: Alexandria via LeMat-Bulk
Functional: PBEsol
Structure: relaxed

Lattice parameters (Å, degrees): 6.4473 6.4473 4.8469 100.84 100.84 26.48
Positions (direct):
Ta 0.0000 0.0000 0.0000
Al 0.5000 0.5000 0.5000
Cl 0.3443 0.3443 0.7990
Cl 0.6557 0.6557 0.2010

Relative energy table, unit eV/atom: P) 0.117; Q) 0.000

P) Compound: Ta2AlCl
Source: Alexandria via LeMat-Bulk
Functional: PBEsol
Structure: relaxed

Lattice parameters (Å, degrees): 3.0030 3.0030 9.0410 90.00 90.00 123.21
Positions (direct):
Ta 0.0000 0.0000 0.2418
Ta 0.0000 0.0000 0.7582
Al 0.5000 0.5000 0.5000
Cl 0.5000 0.5000 0.0000

Q) Compound: Ta2AlCl
Source: Alexandria via LeMat-Bulk
Functional: PBEsol
Structure: relaxed

Lattice parameters (Å, degrees): 5.0885 5.0885 5.0885 133.85 133.85 67.32
Positions (direct):
Ta 0.0000 0.0000 0.0000
Ta 0.7500 0.2500 0.5000
Al 0.5000 0.5000 0.0000
Cl 0.2500 0.7500 0.5000

Relative energy table, unit eV/atom: P) 0.000; Q) 0.388